Version 1
First-principles (GGA-PBE) data for crystalline MnAsS2Cl at its relaxed geometry, as listed in the Alexandria database.

Cell lengths 4.4530, 4.4530, 4.5342 Å; angles 90.00, 90.00, 90.00 degrees
Last column: nearest neighbours and their distance in Å.
Space group P4/mmm (No. 123)
Asymmetric unit:
Mn 0.0000 0.0000 0.0000  4 S 2.23, 2 Cl 2.27
As 0.5000 0.5000 0.5000  4 Cl 3.15, 8 S 3.18
S 0.0000 0.5000 0.0000  2 Mn 2.23
Cl 0.0000 0.0000 0.5000  2 Mn 2.27

Summary:
N(E_F)	7.40	states/eV per cell

Version 2
First-principles (GGA-PBE) data for crystalline MnAsS2Cl at its relaxed geometry, as listed in the Alexandria database.

Cell lengths 4.8637, 4.8637, 4.7331 Å; angles 90.00, 90.00, 90.00 degrees
Last column: nearest neighbours and their distance in Å.
Space group P4/mmm (No. 123)
Asymmetric unit:
Mn 0.0000 0.0000 0.0000  8 S 3.39, 4 Cl 3.44
As 0.5000 0.5000 0.5000  2 Cl 2.37, 4 S 2.43
S 0.0000 0.5000 0.5000  2 As 2.43
Cl 0.5000 0.5000 0.0000  2 As 2.37

Summary:
N(E_F)	0.75	states/eV per cell

Which one sits at the bottom of the stability order? version 1 does.

Version 1
First-principles (GGA-PBE) data for crystalline MnSbAsCl2 at its relaxed geometry, as listed in the Alexandria database.

Cell lengths 4.5464, 4.5464, 6.1158 Å; angles 90.00, 90.00, 90.00 degrees
Last column: nearest neighbours and their distance in Å.
Space group P4/mmm (No. 123)
Asymmetric unit:
Mn 0.0000 0.0000 0.0000  4 Cl 2.27
Sb 0.0000 0.0000 0.5000  2 Mn 3.06, 4 As 3.21
As 0.5000 0.5000 0.5000  4 Sb 3.21
Cl 0.0000 0.5000 0.0000  2 Mn 2.27

Summary:
N(E_F)	0.81	states/eV per cell

Version 2
First-principles (GGA-PBE) data for crystalline MnSbAsCl2 at its relaxed geometry, as listed in the Alexandria database.

Cell lengths 5.1660, 5.1660, 5.5742 Å; angles 90.00, 90.00, 90.00 degrees
Last column: nearest neighbours and their distance in Å.
Space group P4/mmm (No. 123)
Asymmetric unit:
Mn 0.0000 0.0000 0.0000  4 As 3.65, 8 Cl 3.80
Sb 0.5000 0.5000 0.5000  4 Cl 2.58, 2 As 2.79
As 0.5000 0.5000 0.0000  2 Sb 2.79
Cl 0.0000 0.5000 0.5000  2 Sb 2.58

Summary:
N(E_F)	1.20	states/eV per cell

Which one sits at the bottom of the stability order? version 2 does.

Version 1
First-principles (GGA-PBE) data for crystalline MnAsSe2Cl at its relaxed geometry, as listed in the Alexandria database.

Cell lengths 4.9346, 4.9346, 4.7481 Å; angles 90.00, 90.00, 90.00 degrees
Last column: nearest neighbours and their distance in Å.
Space group P4/mmm (No. 123)
Asymmetric unit:
Mn 0.0000 0.0000 0.0000  8 Se 3.42, 4 As 3.49
As 0.5000 0.5000 0.0000  2 Cl 2.37
Se 0.0000 0.5000 0.5000  2 Cl 2.47
Cl 0.5000 0.5000 0.5000  2 As 2.37, 4 Se 2.47

Summary:
N(E_F)	10.88	states/eV per cell

Version 2
First-principles (GGA-PBE) data for crystalline MnAsSe2Cl at its relaxed geometry, as listed in the Alexandria database.

Cell lengths 4.6507, 4.6507, 4.9328 Å; angles 90.00, 90.00, 90.00 degrees
Last column: nearest neighbours and their distance in Å.
Space group P4/mmm (No. 123)
Asymmetric unit:
Mn 0.0000 0.0000 0.0000  4 Se 2.33, 2 As 2.47
As 0.0000 0.0000 0.5000  2 Mn 2.47
Se 0.0000 0.5000 0.0000  2 Mn 2.33
Cl 0.5000 0.5000 0.5000  4 As 3.29, 8 Se 3.39

Summary:
N(E_F)	5.75	states/eV per cell

Version 3
First-principles (GGA-PBE) data for crystalline MnAsSe2Cl at its relaxed geometry, as listed in the Alexandria database.

Cell lengths 5.1520, 5.1520, 4.7339 Å; angles 90.00, 90.00, 90.00 degrees
Last column: nearest neighbours and their distance in Å.
Space group P4/mmm (No. 123)
Asymmetric unit:
Mn 0.0000 0.0000 0.0000  8 Se 3.50, 4 Cl 3.64
As 0.5000 0.5000 0.5000  2 Cl 2.37, 4 Se 2.58
Se 0.0000 0.5000 0.5000  2 As 2.58
Cl 0.5000 0.5000 0.0000  2 As 2.37

Summary:
N(E_F)	0.87	states/eV per cell

Which one sits at the bottom of the stability order? version 1 does.

Version 1
First-principles (GGA-PBE) data for crystalline Mo2AsCl at its relaxed geometry, as listed in the Alexandria database.

Cell lengths 3.2702, 3.1141, 8.2045 Å; angles 90.00, 99.66, 90.00 degrees
Last column: nearest neighbours and their distance in Å.
Space group Pm (No. 6)
Asymmetric unit:
Mo 0.0000 0.0000 0.0000  2 Cl 2.44, 4 Mo 2.71-2.72
Mo 0.4219 0.5000 0.8136  4 As 2.65, 4 Mo 2.71-2.72
As 0.8501 0.0000 0.6432  5 Mo 2.65-2.89
Cl 0.0972 0.5000 0.2316  2 Mo 2.44

Summary:
N(E_F)	3.40	states/eV per cell

Version 2
First-principles (GGA-PBE) data for crystalline Mo2AsCl at its relaxed geometry, as listed in the Alexandria database.

Cell lengths 3.2897, 3.2897, 6.6758 Å; angles 90.00, 90.00, 90.00 degrees
Last column: nearest neighbours and their distance in Å.
Space group P4/mmm (No. 123)
Asymmetric unit:
Mo 0.0000 0.0000 0.1795  1 Mo 2.40, 4 As 2.62
As 0.5000 0.5000 0.0000  8 Mo 2.62
Cl 0.5000 0.5000 0.5000  8 Mo 3.16, 4 Cl 3.29, 2 As 3.34

Summary:
N(E_F)	2.21	states/eV per cell

Which one sits at the bottom of the stability order? version 2 does.

Version 1
First-principles (GGA-PBE) data for crystalline Mo2AsCl at its relaxed geometry, as listed in the Alexandria database.

Cell lengths 3.3064, 3.3101, 6.7469 Å; angles 90.00, 90.00, 90.00 degrees
Last column: nearest neighbours and their distance in Å.
Space group Pmmm (No. 47)
Asymmetric unit:
Mo 0.0000 0.0000 0.1791  1 Mo 2.42, 4 As 2.63
As 0.5000 0.5000 0.0000  8 Mo 2.63
Cl 0.0000 0.5000 0.5000  4 Mo 2.72

Summary:
N(E_F)	3.08	states/eV per cell

Version 2
First-principles (GGA-PBE) data for crystalline Mo2AsCl at its relaxed geometry, as listed in the Alexandria database.

Cell lengths 3.1043, 3.8622, 10.8739 Å; angles 90.00, 90.00, 90.00 degrees
Last column: nearest neighbours and their distance in Å.
Space group Imm2 (No. 44)
Asymmetric unit:
Mo 0.0000 0.0000 0.0000  4 Cl 2.54, 2 As 2.58
Mo 0.0000 0.5000 0.2638  4 As 2.60, 2 Cl 2.79
As 0.0000 0.5000 0.6900  6 Mo 2.58-2.60
Cl 0.0000 0.0000 0.4486  6 Mo 2.54-2.79

Summary:
N(E_F)	8.70	states/eV per cell

Version 3
First-principles (GGA-PBE) data for crystalline Mo2AsCl at its relaxed geometry, as listed in the Alexandria database.

Cell lengths 2.9065, 5.6852, 8.2810 Å; angles 90.00, 90.00, 90.00 degrees
Last column: nearest neighbours and their distance in Å.
Space group Immm (No. 71)
Asymmetric unit:
Mo 0.0000 0.0000 0.2494  2 Cl 2.53, 2 As 2.53
As 0.0000 0.5000 0.0000  4 Mo 2.53
Cl 0.0000 0.5000 0.5000  4 Mo 2.53

Summary:
N(E_F)	9.74	states/eV per cell

Version 4
First-principles (GGA-PBE) data for crystalline Mo2AsCl at its relaxed geometry, as listed in the Alexandria database.

Cell lengths 3.0224, 3.0224, 24.1935 Å; angles 90.00, 90.00, 120.00 degrees
Last column: nearest neighbours and their distance in Å.
Space group R-3m (No. 166, hexagonal axes)
Asymmetric unit:
Mo 0.0000 0.0000 0.2470  3 As 2.61, 3 Cl 2.72
As 0.0000 0.0000 0.5000  6 Mo 2.61
Cl 0.0000 0.0000 0.0000  6 Mo 2.72, 6 Cl 3.02

Summary:
N(E_F)	18.29	states/eV per cell

Which one sits at the bottom of the stability order? version 3 does.

Version 1
First-principles (GGA-PBE) data for crystalline Mo2AsCl at its relaxed geometry, as listed in the Alexandria database.

Cell lengths 8.9338, 3.2081, 7.3180 Å; angles 90.00, 123.16, 90.00 degrees
Last column: nearest neighbours and their distance in Å.
Space group C2/m (No. 12)
Asymmetric unit:
Mo 0.2179 0.0000 0.3586  2 Mo 2.43, 3 As 2.66-2.67
As 0.0000 0.0000 0.5000  6 Mo 2.66-2.67
Cl 0.0000 0.5000 0.0000  4 Mo 2.77

Summary:
N(E_F)	4.67	states/eV per cell

Version 2
First-principles (GGA-PBE) data for crystalline Mo2AsCl at its relaxed geometry, as listed in the Alexandria database.

Cell lengths 6.0164, 8.4492, 2.7730 Å; angles 90.00, 107.61, 90.00 degrees
Last column: nearest neighbours and their distance in Å.
Space group C2/m (No. 12)
Asymmetric unit:
Mo 0.2500 0.2500 0.0000  2 Cl 2.59, 2 As 2.59, 2 Mo 2.77
As 0.0000 0.0000 0.0000  4 Mo 2.59, 2 As 2.77
Cl 0.0000 0.5000 0.0000  4 Mo 2.59, 2 Cl 2.77

Summary:
N(E_F)	7.66	states/eV per cell

Which one sits at the bottom of the stability order? version 2 does.